Density functional theory data (PBE+U) for a geometry-optimized LiMoPO4 structure.

Cell: 5.284 5.284 6.001 Å, 90.00 90.00 111.34°
Fractional positions:
Li  0.155  0.845  0.750
Li  0.845  0.155  0.250
Mo  0.500  0.500  0.000
Mo  0.500  0.500  0.500
P  0.146  0.854  0.250
P  0.854  0.146  0.750
O  0.173  0.241  0.750
O  0.241  0.173  0.250
O  0.246  0.754  0.039
O  0.246  0.754  0.461
O  0.754  0.246  0.539
O  0.754  0.246  0.961
O  0.759  0.827  0.750
O  0.827  0.759  0.250

Calculated values
The calculation puts the size of the total moment at 2.00 μB/f.u. The value obtained for the final energy is -47.1 eV/f.u. Its symmetry is Cmcm, No. 63. Its crystal system is orthorhombic.